1.
A relaxed Ti5Cu2Re crystal, computed with PBE.

a b c (Å): 4.491 4.491 6.844
angles (deg): 109.15 109.15 90.00
Atoms (fractional coordinates):
Ti1 0.500 0.500 0.000
Ti2 0.876 0.376 0.753
Ti3 0.376 0.876 0.753
Ti4 0.124 0.624 0.247
Ti5 0.624 0.124 0.247
Cu1 0.749 0.749 0.497
Cu2 0.251 0.251 0.503
Re1 0.000 0.000 0.000

* crystal system: tetragonal
* energy of formation: -14.7 kJ per mole of atoms
* spin magnetization: 0.00 μB per formula unit



2.
A relaxed Zn2H2Pb crystal, computed with PBE.

a b c (Å): 3.322 3.322 7.032
angles (deg): 76.34 76.34 90.00
Atoms (fractional coordinates):
Pb1 0.000 0.000 0.000
H1 0.750 0.250 0.500
H2 0.250 0.750 0.500
Zn1 0.330 0.330 0.339
Zn2 0.670 0.670 0.661

* crystal system: tetragonal
* electronic total energy: -2.25 eV per atom
* spin magnetization: 0.00 μB per formula unit



3.
A relaxed Zr3MnTl crystal, computed with PBE.

a b c (Å): 5.281 5.281 5.281
angles (deg): 90.00 90.00 90.00
Atoms (fractional coordinates):
Tl1 0.000 0.000 0.000
Mn1 0.500 0.500 0.500
Zr1 0.000 0.500 0.000
Zr2 0.000 0.000 0.500
Zr3 0.500 0.000 0.000

* crystal system: cubic
* energy of formation: 180.4 kJ per mole of atoms
* spin magnetization: 0.16 μB per formula unit



4.
A relaxed YAl2TcHg crystal, computed with PBE.

a b c (Å): 4.807 5.631 4.807
angles (deg): 90.00 90.00 90.00
Atoms (fractional coordinates):
Y1 0.000 0.500 0.000
Al1 0.000 0.000 0.500
Al2 0.500 0.000 0.000
Hg1 0.000 0.000 0.000
Tc1 0.500 0.500 0.500

* crystal system: tetragonal
* energy of formation: 99.6 kJ per mole of atoms
* spin magnetization: 2.21 μB per formula unit



5.
A relaxed NaMgCrCl2 crystal, computed with PBE.

a b c (Å): 4.973 5.698 4.973
angles (deg): 90.00 90.00 90.00
Atoms (fractional coordinates):
Cr1 0.000 0.000 0.000
Mg1 0.000 0.500 0.000
Na1 0.500 0.500 0.500
Cl1 0.000 0.000 0.500
Cl2 0.500 0.000 0.000

* ΔE_f (raw): -0.349 eV per atom
* crystal system: tetragonal
* spin magnetization: 4.68 μB per formula unit



6.
A relaxed SrPHS2 crystal, computed with PBE.

a b c (Å): 5.716 5.716 5.887
angles (deg): 90.00 90.00 90.00
Atoms (fractional coordinates):
Sr1 0.000 0.000 0.000
S1 0.000 0.500 0.000
S2 0.500 0.000 0.000
H1 0.500 0.500 0.500
P1 0.000 0.000 0.500

* crystal system: tetragonal
* electronic total energy: -2.63 eV per atom
* spin magnetization: 2.85 μB per formula unit



7.
A relaxed Nd2HfGa3Pt4 crystal, computed with PBE.

a b c (Å): 4.216 4.216 11.249
angles (deg): 90.00 90.00 90.00
Atoms (fractional coordinates):
Nd1 0.500 0.000 0.235
Nd2 0.000 0.500 0.765
Hf1 0.500 0.500 0.500
Ga1 0.000 0.000 0.500
Ga2 0.500 0.000 0.871
Ga3 0.000 0.500 0.129
Pt1 0.500 0.500 0.000
Pt2 0.000 0.000 0.000
Pt3 0.500 0.000 0.647
Pt4 0.000 0.500 0.353

* crystal system: tetragonal
* energy of formation: -94.3 kJ per mole of atoms
* spin magnetization: 0.00 μB per formula unit



8.
A relaxed ZnReSi2 crystal, computed with PBE.

a b c (Å): 4.540 4.540 4.540
angles (deg): 128.83 128.83 75.29
Atoms (fractional coordinates):
Re1 0.750 0.250 0.500
Si1 0.000 0.000 0.000
Si2 0.500 0.500 0.000
Zn1 0.250 0.750 0.500

* ΔE_f (raw): 0.223 eV per atom
* crystal system: tetragonal
* spin magnetization: 0.00 μB per formula unit



9.
A relaxed YInPb crystal, computed with PBE.

a b c (Å): 5.244 5.244 3.534
angles (deg): 90.00 90.00 120.00
Atoms (fractional coordinates):
In1 0.000 0.000 0.063
Pb1 0.667 0.333 0.267
Y1 0.333 0.667 0.670

* crystal system: trigonal
* energy of formation: -25.5 kJ per mole of atoms
* spin magnetization: 0.00 μB per formula unit



10.
A relaxed LiHo2Re crystal, computed with PBE.

a b c (Å): 3.448 3.448 7.926
angles (deg): 90.00 90.00 90.00
Atoms (fractional coordinates):
Re1 0.500 0.500 0.000
Ho1 0.000 0.000 0.795
Ho2 0.000 0.000 0.205
Li1 0.500 0.500 0.500

* crystal system: tetragonal
* energy of formation: 6.1 kJ per mole of atoms
* spin magnetization: 0.00 μB per formula unit



11.
A relaxed AsOsSeBr2 crystal, computed with PBE.

a b c (Å): 5.184 5.184 5.233
angles (deg): 90.00 90.00 90.00
Atoms (fractional coordinates):
As1 0.000 0.000 0.000
Os1 0.500 0.500 0.500
Se1 0.000 0.000 0.500
Br1 0.000 0.500 0.000
Br2 0.500 0.000 0.000

* ΔE_f (raw): 1.388 eV per atom
* crystal system: tetragonal
* spin magnetization: 4.57 μB per formula unit



12.
A relaxed CsAlCd2 crystal, computed with PBE.

a b c (Å): 6.413 6.413 9.569
angles (deg): 70.42 70.42 90.00
Atoms (fractional coordinates):
Cs1 0.000 0.000 0.000
Cs2 0.750 0.250 0.500
Al1 0.500 0.500 0.000
Al2 0.250 0.750 0.500
Cd1 0.374 0.125 0.250
Cd2 0.376 0.625 0.250
Cd3 0.375 0.626 0.750
Cd4 0.875 0.624 0.750

* crystal system: tetragonal
* energy of formation: 12.7 kJ per mole of atoms
* spin magnetization: 0.00 μB per formula unit



Q: Among the records above, which one has the highest spin magnetization?
A: NaMgCrCl2